This record from Alexandria via LeMat-Bulk describes a geometry-optimized K2VTe3O12 structure. The functional is PBE with a Hubbard U.

Lattice parameters (Å, degrees): 7.2615 7.2615 17.3360 90.00 90.00 120.00
With the nearest neighbours (Å) after each atom.
Space group R-3m (No. 166, hexagonal axes)
Unique sites:
1 K 0.0000 0.0000 0.1327 (multiplicity 6)  6 O 3.03-3.11
2 V 0.0000 0.0000 0.5000 (multiplicity 3)  6 O 1.94
3 Te 0.0000 0.5000 0.0000 (multiplicity 9)  6 O 1.91-1.98
4 O 0.0680 0.5340 0.3608 (multiplicity 18)  2 Te 1.98
5 O 0.0723 0.5362 0.1067 (multiplicity 18)  1 Te 1.91, 1 V 1.94

Computed properties:
size of the total moment = 0.056 μB per atom
energy = -0.210 hartree per atom
calculated volume = 791.7 Å³/cell